This record from Alexandria describes a relaxed Li2MnSiO4 crystal. The functional is PBE with a Hubbard U.

Lattice parameters (Å, degrees): 5.4206 10.6524 13.1312 90.00 90.00 90.00
Site moments in Bohr magnetons follow the coordinates.
Fractional positions:
Li 0.0480 0.0334 0.5643  0.00
Li 0.5567 0.0510 0.9383  0.00
Li 0.6313 0.7864 0.2978  0.00
Li 0.1341 0.7904 0.2004  0.00
Li 0.1341 0.7096 0.7004  0.00
Li 0.6313 0.7136 0.7978  0.00
Li 0.0480 0.4666 0.0643  0.00
Li 0.5567 0.4490 0.4383  0.00
Li 0.4433 0.5510 0.9383  0.00
Li 0.9520 0.5334 0.5643  0.00
Li 0.3687 0.2864 0.2978  0.00
Li 0.8659 0.2904 0.2004  0.00
Li 0.8659 0.2096 0.7004  0.00
Li 0.3687 0.2136 0.7978  0.00
Li 0.9520 0.9666 0.0643  0.00
Li 0.4433 0.9490 0.4383  0.00
Mn 0.0506 0.9610 0.8139  4.60
Mn 0.4655 0.7933 0.0560  4.59
Mn 0.4655 0.7067 0.5560  4.59
Mn 0.0506 0.5390 0.3139  4.60
Mn 0.9494 0.4610 0.8139  4.60
Mn 0.5345 0.2933 0.0560  4.59
Mn 0.5345 0.2067 0.5560  4.59
Mn 0.9494 0.0390 0.3139  4.60
Si 0.5396 0.9654 0.6876  0.01
Si 0.9593 0.7926 0.4411  0.01
Si 0.9593 0.7074 0.9411  0.01
Si 0.5396 0.5346 0.1876  0.01
Si 0.4604 0.4654 0.6876  0.01
Si 0.0407 0.2926 0.4411  0.01
Si 0.0407 0.2074 0.9411  0.01
Si 0.4604 0.0346 0.1876  0.01
O 0.5903 0.9743 0.2911  0.03
O 0.1664 0.9903 0.1884  0.03
O 0.0749 0.9354 0.4381  0.02
O 0.5846 0.9733 0.0836  0.02
O 0.4865 0.8118 0.6900  0.03
O 0.0001 0.7696 0.8262  0.03
O 0.6552 0.7993 0.4495  0.03
O 0.0795 0.7910 0.0344  0.03
O 0.0795 0.7090 0.5344  0.03
O 0.6552 0.7007 0.9495  0.03
O 0.0001 0.7304 0.3262  0.03
O 0.4865 0.6882 0.1900  0.03
O 0.5846 0.5267 0.5836  0.02
O 0.0749 0.5646 0.9381  0.02
O 0.1664 0.5097 0.6884  0.03
O 0.5903 0.5257 0.7911  0.03
O 0.4097 0.4743 0.2911  0.03
O 0.8336 0.4903 0.1884  0.03
O 0.9251 0.4354 0.4381  0.02
O 0.4154 0.4733 0.0836  0.02
O 0.5135 0.3118 0.6900  0.03
O 0.9999 0.2696 0.8262  0.03
O 0.3448 0.2993 0.4495  0.03
O 0.9205 0.2910 0.0344  0.03
O 0.9205 0.2090 0.5344  0.03
O 0.3448 0.2007 0.9495  0.03
O 0.9999 0.2304 0.3262  0.03
O 0.5135 0.1882 0.1900  0.03
O 0.4154 0.0267 0.5836  0.02
O 0.9251 0.0646 0.9381  0.02
O 0.8336 0.0097 0.6884  0.03
O 0.4097 0.0257 0.7911  0.03

Calculated values
**Energy relative to the lowest polymorph listed for this composition**: 0.051 eV/atom
**Uncorrected energy**: -6.860 eV/atom
**Space group**: Pca2_1 (29)
**N(E_F)**: 0.00 states/eV/f.u.
**Total moment**: 0.625 μB per atom